# LiMo3Br

An optimized crystal structure of LiMo3Br (GGA-PBEsol, Alexandria via LeMat-Bulk).

Lattice parameters (Å, degrees): 4.279 4.279 4.279 90.00 90.00 90.00
Atoms (fractional coordinates):
Li: 0.000 0.000 0.000
Mo: 0.000 0.000 0.500
Mo: 0.000 0.500 0.000
Mo: 0.500 0.000 0.000
Br: 0.500 0.500 0.500

Output
The value obtained for the density is 7.94 g/cm3. For the energy, the calculation gives -5.9859 eV per atom. The calculation puts the total magnetization at 0.0 μB per cell. The formation energy without anion corrections is 889 kJ/mol of formula units.



# YCl2

An optimized crystal structure of YCl2 (GGA-PBEsol, Alexandria via LeMat-Bulk).

Lattice parameters (Å, degrees): 12.965 3.619 7.243 90.00 122.39 90.00
Atoms (fractional coordinates):
Y: 0.000 0.000 0.000
Y: 0.149 0.500 0.517
Y: 0.500 0.500 0.000
Y: 0.649 0.000 0.517
Cl: 0.071 0.500 0.812
Cl: 0.228 0.000 0.340
Cl: 0.309 0.000 0.838
Cl: 0.469 0.500 0.336
Cl: 0.571 0.000 0.812
Cl: 0.728 0.500 0.340
Cl: 0.809 0.500 0.838
Cl: 0.969 0.000 0.336

Output
The value obtained for the density is 3.70 g/cm3. For the energy, the calculation gives -5.6296 eV per atom. The calculation puts the total magnetization at 0.0 μB per cell. The formation energy without anion corrections is -584 kJ/mol of formula units.



# MoAs4W

An optimized crystal structure of MoAs4W (GGA-PBEsol, Alexandria via LeMat-Bulk).

Lattice parameters (Å, degrees): 5.221 5.221 5.221 60.00 60.00 60.00
Atoms (fractional coordinates):
Mo: 0.000 0.000 0.000
As: 0.375 0.375 0.375
As: 0.375 0.375 0.875
As: 0.375 0.875 0.375
As: 0.875 0.375 0.375
W: 0.750 0.750 0.750

Output
The value obtained for the density is 9.56 g/cm3. The calculation puts the calculated formation energy at 1.064 eV/atom. For the energy, the calculation gives -6.6030 eV per atom. The calculation puts the total magnetization at 0.0 μB per cell.



# Cd5Au

An optimized crystal structure of Cd5Au (GGA-PBEsol, Alexandria via LeMat-Bulk).

Lattice parameters (Å, degrees): 10.854 3.113 7.102 90.00 102.96 90.00
Atoms (fractional coordinates):
Cd: 0.000 0.000 0.000
Cd: 0.049 0.000 0.616
Cd: 0.171 0.500 0.348
Cd: 0.225 0.500 0.939
Cd: 0.389 0.000 0.281
Cd: 0.500 0.500 0.000
Cd: 0.549 0.500 0.616
Cd: 0.671 0.000 0.348
Cd: 0.725 0.000 0.939
Cd: 0.889 0.500 0.281
Au: 0.330 0.000 0.666
Au: 0.830 0.500 0.666

Output
The value obtained for the density is 10.78 g/cm3. The calculation puts the calculated formation energy at -0.068 eV/atom. For the energy, the calculation gives -1.7199 eV per atom. The calculation puts the total magnetization at 0.0 μB per cell.



# SrMgSc

An optimized crystal structure of SrMgSc (GGA-PBEsol, Alexandria via LeMat-Bulk).

Lattice parameters (Å, degrees): 5.547 5.547 3.332 90.00 90.00 120.00
Atoms (fractional coordinates):
Sr: 0.000 0.000 0.000
Mg: 0.667 0.333 0.360
Sc: 0.333 0.667 0.653

Output
The value obtained for the density is 2.93 g/cm3. The calculation puts the calculated formation energy at 0.248 eV/atom. For the energy, the calculation gives -3.1396 eV per atom. The calculation puts the total magnetization at 0.0 μB per cell.



# NiAg2O2

An optimized crystal structure of NiAg2O2 (GGA-PBEsol, Alexandria via LeMat-Bulk).

Lattice parameters (Å, degrees): 2.862 2.862 24.674 90.00 90.00 120.00
Atoms (fractional coordinates):
Ni: 0.000 0.000 0.000
Ni: 0.333 0.667 0.667
Ni: 0.667 0.333 0.333
Ag: 0.000 0.000 0.212
Ag: 0.000 0.000 0.788
Ag: 0.333 0.667 0.454
Ag: 0.333 0.667 0.879
Ag: 0.667 0.333 0.121
Ag: 0.667 0.333 0.546
O: 0.000 0.000 0.373
O: 0.000 0.000 0.627
O: 0.333 0.667 0.040
O: 0.333 0.667 0.293
O: 0.667 0.333 0.707
O: 0.667 0.333 0.960

Output
The value obtained for the density is 8.72 g/cm3. For the energy, the calculation gives -5.0832 eV per atom. The calculation puts the total magnetization at 1.2 μB per cell. The formation energy without anion corrections is -206 kJ/mol of formula units.



# LiTi6O12

An optimized crystal structure of LiTi6O12 (GGA-PBEsol, Alexandria via LeMat-Bulk).

Lattice parameters (Å, degrees): 4.872 5.878 14.052 90.00 92.50 90.00
Atoms (fractional coordinates):
Li: 0.000 0.126 0.000
Li: 0.000 0.874 0.500
Ti: 0.386 0.375 0.622
Ti: 0.386 0.625 0.122
Ti: 0.430 0.126 0.134
Ti: 0.430 0.874 0.634
Ti: 0.458 0.379 0.936
Ti: 0.458 0.621 0.436
Ti: 0.459 0.129 0.438
Ti: 0.459 0.871 0.938
Ti: 0.930 0.375 0.283
Ti: 0.930 0.625 0.783
Ti: 0.933 0.125 0.779
Ti: 0.933 0.875 0.279
O: 0.113 0.376 0.717
O: 0.113 0.624 0.217
O: 0.116 0.125 0.216
O: 0.116 0.875 0.716
O: 0.227 0.118 0.555
O: 0.227 0.882 0.055
O: 0.228 0.368 0.055
O: 0.228 0.632 0.555
O: 0.230 0.125 0.884
O: 0.230 0.875 0.384
O: 0.245 0.374 0.378
O: 0.245 0.626 0.878
O: 0.617 0.132 0.686
O: 0.617 0.382 0.187
O: 0.617 0.618 0.687
O: 0.617 0.868 0.186
O: 0.624 0.375 0.509
O: 0.624 0.625 0.009
O: 0.631 0.125 0.011
O: 0.631 0.875 0.511
O: 0.748 0.121 0.349
O: 0.748 0.879 0.849
O: 0.752 0.372 0.851
O: 0.752 0.628 0.351

Output
The value obtained for the density is 4.02 g/cm3. For the energy, the calculation gives -9.0157 eV per atom. The calculation puts the total magnetization at 1.9 μB per cell. The formation energy without anion corrections is -5442 kJ/mol of formula units.



# LiMnNbO4

An optimized crystal structure of LiMnNbO4 (GGA-PBEsol, Alexandria via LeMat-Bulk).

Lattice parameters (Å, degrees): 6.172 6.172 6.172 122.64 120.80 87.05
Atoms (fractional coordinates):
Li: 0.392 0.142 0.250
Li: 0.608 0.858 0.750
Mn: 0.000 0.000 0.500
Mn: 0.000 0.500 0.000
Nb: 0.000 0.500 0.500
Nb: 0.500 0.500 0.000
O: 0.197 0.726 0.472
O: 0.246 0.274 0.972
O: 0.255 0.277 0.521
O: 0.255 0.734 0.979
O: 0.745 0.266 0.021
O: 0.745 0.723 0.479
O: 0.754 0.726 0.028
O: 0.803 0.274 0.528

Output
The value obtained for the density is 4.50 g/cm3. For the energy, the calculation gives -8.2795 eV per atom. The calculation puts the total magnetization at 9.0 μB per cell. The formation energy without anion corrections is -1390 kJ/mol of formula units.



# BaLiO2F

An optimized crystal structure of BaLiO2F (GGA-PBEsol, Alexandria via LeMat-Bulk).

Lattice parameters (Å, degrees): 4.585 4.585 5.020 90.00 90.00 90.00
Atoms (fractional coordinates):
Ba: 0.000 0.000 0.000
Li: 0.500 0.500 0.500
O: 0.000 0.500 0.000
O: 0.500 0.000 0.000
F: 0.000 0.000 0.500

Output
The value obtained for the density is 3.07 g/cm3. For the energy, the calculation gives -4.5505 eV per atom. The calculation puts the total magnetization at 0.4 μB per cell. The formation energy without anion corrections is -599 kJ/mol of formula units.



# ZnFeNi2

An optimized crystal structure of ZnFeNi2 (GGA-PBEsol, Alexandria via LeMat-Bulk).

Lattice parameters (Å, degrees): 5.175 6.781 2.542 90.00 90.00 90.00
Atoms (fractional coordinates):
Zn: 0.000 0.000 0.000
Zn: 0.500 0.500 0.000
Fe: 0.000 0.500 0.000
Fe: 0.500 0.000 0.000
Ni: 0.250 0.250 0.500
Ni: 0.250 0.750 0.500
Ni: 0.750 0.250 0.500
Ni: 0.750 0.750 0.500

Output
The value obtained for the density is 8.89 g/cm3. The calculation puts the calculated formation energy at -0.092 eV/atom. For the energy, the calculation gives -5.8076 eV per atom. The calculation puts the total magnetization at 6.7 μB per cell.



# LiSi2Au

An optimized crystal structure of LiSi2Au (GGA-PBEsol, Alexandria via LeMat-Bulk).

Lattice parameters (Å, degrees): 7.546 7.546 4.833 90.00 90.00 90.00
Atoms (fractional coordinates):
Li: 0.000 0.000 0.000
Li: 0.000 0.500 0.250
Li: 0.500 0.000 0.750
Li: 0.500 0.500 0.500
Si: 0.200 0.750 0.625
Si: 0.250 0.200 0.375
Si: 0.250 0.300 0.875
Si: 0.300 0.750 0.125
Si: 0.700 0.250 0.125
Si: 0.750 0.700 0.875
Si: 0.750 0.800 0.375
Si: 0.800 0.250 0.625
Au: 0.000 0.000 0.500
Au: 0.000 0.500 0.750
Au: 0.500 0.000 0.250
Au: 0.500 0.500 0.000

Output
The value obtained for the density is 6.28 g/cm3. For the energy, the calculation gives -4.3199 eV per atom. The calculation puts the total magnetization at 0.0 μB per cell. The formation energy without anion corrections is 10 kJ/mol of formula units.



# CuAs2Se

An optimized crystal structure of CuAs2Se (GGA-PBEsol, Alexandria via LeMat-Bulk).

Lattice parameters (Å, degrees): 3.118 4.578 4.759 90.00 90.00 90.00
Atoms (fractional coordinates):
Cu: 0.000 0.000 0.000
As: 0.000 0.500 0.500
As: 0.500 0.500 0.000
Se: 0.500 0.000 0.500

Output
The value obtained for the density is 7.15 g/cm3. For the energy, the calculation gives -4.2166 eV per atom. The calculation puts the total magnetization at 0.0 μB per cell. The formation energy without anion corrections is 148 kJ/mol of formula units.



Question: Among the records above, which one has the highest energy?
Answer: Cd5Au



Question: Which formula does entry 4 have?
Answer: Cd5Au